No. 1
Pm2PrPuP4 | PBE-GGA | relaxed

Cell lengths 4.122, 7.123, 7.120 Å; angles 109.48, 90.00, 90.00 degrees
Site moments in Bohr magnetons follow the coordinates.
Sites, in units of the cell vectors:
Pm: 0.500 0.000 0.500  0.02
Pm: 0.000 0.500 0.500  0.02
Pr: 0.500 0.500 0.000  0.02
Pu: 0.000 0.000 0.000  4.92
P: 0.500 0.240 0.243  -0.08
P: 0.500 0.760 0.757  -0.08
P: 0.000 0.243 0.752  -0.05
P: 0.000 0.757 0.248  -0.05

Summary:
**Space group**: No. 10
**ΔE_f**: -1.43 eV per atom

No. 2
PmPrPu2P4 | PBE-GGA | relaxed

Cell lengths 5.779, 5.779, 7.071 Å; angles 114.12, 114.12, 90.00 degrees
Site moments in Bohr magnetons follow the coordinates.
Sites, in units of the cell vectors:
Pm: 0.437 0.437 0.000  0.02
Pr: 0.937 0.937 0.000  0.02
Pu: 0.187 0.687 0.500  4.94
Pu: 0.687 0.187 0.500  4.94
P: 0.937 0.437 0.000  -0.08
P: 0.437 0.937 0.000  -0.08
P: 0.189 0.189 0.503  -0.13
P: 0.685 0.685 0.497  -0.13

Summary:
**Space group**: No. 139
**ΔE_f**: -1.31 eV per atom

No. 3
PmPr2P3Rh12 | PBE-GGA | relaxed

Cell lengths 6.788, 6.788, 6.788 Å; angles 84.25, 84.25, 84.25 degrees
Sites, in units of the cell vectors:
Pm: 0.000 0.000 0.000
Pr: 0.627 0.627 0.627
Pr: 0.373 0.373 0.373
P: 0.500 0.000 0.000
P: 0.000 0.500 0.000
P: 0.000 0.000 0.500
Rh: 0.365 0.365 0.912
Rh: 0.822 0.822 0.337
Rh: 0.337 0.822 0.822
Rh: 0.912 0.365 0.365
Rh: 0.822 0.337 0.822
Rh: 0.365 0.912 0.365
Rh: 0.635 0.635 0.088
Rh: 0.178 0.178 0.663
Rh: 0.663 0.178 0.178
Rh: 0.088 0.635 0.635
Rh: 0.178 0.663 0.178
Rh: 0.635 0.088 0.635

Summary:
**Space group**: No. 166
**ΔE_f**: -0.30 eV per atom

No. 4
PmPrP2Rh5 | PBE-GGA | relaxed

Cell lengths 4.079, 4.079, 10.831 Å; angles 90.00, 90.00, 90.00 degrees
Sites, in units of the cell vectors:
Pm: 0.000 0.000 0.000
Pr: 0.000 0.000 0.500
P: 0.500 0.500 0.290
P: 0.500 0.500 0.710
Rh: 0.000 0.500 0.200
Rh: 0.500 0.000 0.200
Rh: 0.000 0.500 0.800
Rh: 0.500 0.000 0.800
Rh: 0.500 0.500 0.500

Summary:
**Space group**: No. 123
**ΔE_f**: -0.75 eV per atom

No. 5
PmPrSbP | PBE-GGA | relaxed

Cell lengths 4.315, 4.315, 7.609 Å; angles 73.53, 73.53, 60.00 degrees
Sites, in units of the cell vectors:
Pm: 0.508 0.508 0.477
Pr: 0.992 0.992 0.023
Sb: 0.751 0.751 0.746
P: 0.249 0.249 0.254

Summary:
**Uncorrected formation energy**: -1335 meV/atom
**Space group**: No. 160

No. 6
Pm2PrScP4 | PBE-GGA | relaxed

Cell lengths 4.074, 7.034, 7.038 Å; angles 109.46, 90.00, 90.00 degrees
Sites, in units of the cell vectors:
Pm: 0.500 0.000 0.500
Pm: 0.000 0.500 0.500
Pr: 0.500 0.500 0.000
Sc: 0.000 0.000 0.000
P: 0.500 0.234 0.237
P: 0.500 0.766 0.763
P: 0.000 0.240 0.754
P: 0.000 0.760 0.246

Summary:
**Space group**: No. 10
**ΔE_f**: -1.48 eV per atom

No. 7
Pm2PrSm3P6 | PBE-GGA | relaxed

Cell lengths 7.156, 7.156, 7.157 Å; angles 99.58, 99.58, 119.99 degrees
Sites, in units of the cell vectors:
Pm: 0.333 0.667 0.000
Pm: 0.667 0.333 0.000
Pr: 0.000 0.000 0.000
Sm: 0.166 0.834 0.500
Sm: 0.834 0.166 0.500
Sm: 0.500 0.500 0.500
P: 0.916 0.580 0.747
P: 0.749 0.749 0.253
P: 0.084 0.420 0.253
P: 0.580 0.916 0.747
P: 0.251 0.251 0.747
P: 0.420 0.084 0.253

Summary:
**Space group**: No. 12
**ΔE_f**: -1.56 eV per atom

No. 8
PmPr2Sm3P6 | PBE-GGA | relaxed

Cell lengths 4.146, 8.287, 9.264 Å; angles 102.93, 102.93, 90.00 degrees
Sites, in units of the cell vectors:
Pm: 0.500 0.000 0.000
Pr: 0.834 0.667 0.667
Pr: 0.166 0.333 0.333
Sm: 0.500 0.500 0.000
Sm: 0.833 0.166 0.667
Sm: 0.167 0.834 0.333
P: 0.333 0.920 0.666
P: 0.665 0.586 0.331
P: 0.667 0.080 0.334
P: 0.999 0.250 0.997
P: 0.001 0.750 0.003
P: 0.335 0.414 0.669

Summary:
**Space group**: No. 12
**ΔE_f**: -1.55 eV per atom

No. 9
PmPr2SmP4 | PBE-GGA | relaxed

Cell lengths 4.165, 7.207, 7.207 Å; angles 109.45, 90.00, 90.00 degrees
Sites, in units of the cell vectors:
Pm: 0.500 0.500 0.000
Pr: 0.500 0.000 0.500
Pr: 0.000 0.500 0.500
Sm: 0.000 0.000 0.000
P: 0.500 0.248 0.245
P: 0.500 0.752 0.755
P: 0.000 0.251 0.755
P: 0.000 0.749 0.245

Summary:
**Space group**: No. 10
**ΔE_f**: -1.54 eV per atom

No. 10
Tb2PmPrP4 | PBE-GGA | relaxed

Cell lengths 5.796, 5.796, 7.104 Å; angles 114.08, 114.08, 90.00 degrees
Sites, in units of the cell vectors:
Tb: 0.187 0.687 0.500
Tb: 0.687 0.187 0.500
Pm: 0.437 0.437 0.000
Pr: 0.937 0.937 0.000
P: 0.937 0.437 0.000
P: 0.437 0.937 0.000
P: 0.189 0.189 0.503
P: 0.685 0.685 0.497

Summary:
**Space group**: No. 139
**ΔE_f**: -1.56 eV per atom

No. 11
TbPmPr2P4 | PBE-GGA | relaxed

Cell lengths 4.145, 7.174, 7.173 Å; angles 109.45, 90.00, 90.00 degrees
Sites, in units of the cell vectors:
Tb: 0.000 0.000 0.000
Pm: 0.500 0.500 0.000
Pr: 0.500 0.000 0.500
Pr: 0.000 0.500 0.500
P: 0.500 0.244 0.242
P: 0.500 0.756 0.758
P: 0.000 0.249 0.756
P: 0.000 0.751 0.244

Summary:
**Space group**: No. 10
**ΔE_f**: -1.55 eV per atom

No. 12
Pm2PrTh3P6 | PBE-GGA | relaxed

Cell lengths 7.193, 7.193, 7.172 Å; angles 99.64, 99.64, 119.93 degrees
Sites, in units of the cell vectors:
Pm: 0.333 0.667 0.000
Pm: 0.667 0.333 0.000
Pr: 0.000 0.000 0.000
Th: 0.166 0.834 0.500
Th: 0.834 0.166 0.500
Th: 0.500 0.500 0.500
P: 0.915 0.580 0.746
P: 0.749 0.749 0.253
P: 0.085 0.420 0.254
P: 0.580 0.915 0.746
P: 0.251 0.251 0.747
P: 0.420 0.085 0.254

Summary:
**Space group**: No. 12
**ΔE_f**: -1.57 eV per atom